1.
CaAlTeO6 | PBE | relaxed

Cell lengths 5.1264, 5.1264, 10.0945 Å; angles 90.00, 90.00, 120.00 degrees
Space group P-31c (No. 163)
One atom of each set of equivalent atoms:
1 Ca 0.0000 0.0000 0.0000 x2
2 Al 0.3333 0.6667 0.2500 x2
3 Te 0.3333 0.6667 0.7500 x2
4 O 0.0032 0.3696 0.1454 x12

Crystal system: trigonal

=====

2.
CaAlTe2O8 | PBE | relaxed

Cell lengths 6.4511, 7.0481, 6.4971 Å; angles 90.00, 90.00, 90.00 degrees
Space group Cmmm (No. 65)
One atom of each set of equivalent atoms:
1 Ca 0.0000 0.0000 0.0000 x2
2 Al 0.0000 0.0000 0.5000 x2
3 Te 0.0000 0.5000 0.2597 x4
4 O 0.0000 0.3060 0.5000 x4
5 O 0.0000 0.3280 0.0000 x4
6 O 0.1977 0.0000 0.2846 x8

Crystal system: orthorhombic

=====

Number 1: DOS at the Fermi energy 11.24 states/eV per cell, formation energy (no corrections) -1.948 eV/atom, VASP energy -112.3 eV for the cell shown. Number 2: DOS at the Fermi energy 2.90 states/eV per cell, formation energy (no corrections) -1.662 eV/atom, VASP energy -143.3 eV for the cell shown.